No. 1
Compound: AcErZn4
Source: the Alexandria database
Functional: PBE-GGA
Structure: optimized geometry

POSCAR file:
```
AcErZn4
1.0
-2.121 2.121 7.790
2.121 -2.121 7.790
2.121 2.121 -7.790
Ac Er Zn
1 1 4
direct
0.000 0.000 0.000
0.250 0.750 0.500
0.410 0.410 0.000
0.590 0.590 0.000
0.672 0.172 0.500
0.828 0.328 0.500
```

Values from the calculation:
- density of states at the Fermi level (states/eV/atom) = 1.030
- energy of formation (kJ per mole of atoms) = -24.9
- calculated volume (Å³ per cell) = 140
- E (eV per atom) = -2.553


No. 2
Compound: Be2AlBiRh
Source: the Alexandria database
Functional: PBE-GGA
Structure: optimized geometry

POSCAR file:
```
Be2AlBiRh
1.0
4.308 0.000 0.000
0.000 4.308 0.000
0.000 0.000 5.331
Be Al Bi Rh
2 1 1 1
direct
0.000 0.500 0.000
0.500 0.000 0.000
0.000 0.000 0.500
0.500 0.500 0.500
0.500 0.500 0.000
```

Values from the calculation:
- density of states at the Fermi level (states/eV/atom) = 0.382
- energy of formation (kJ per mole of atoms) = 45.5
- calculated volume (Å³ per cell) = 99
- E (eV per atom) = -4.014


No. 3
Compound: CuRe2Te
Source: the Alexandria database
Functional: PBE-GGA
Structure: optimized geometry

POSCAR file:
```
CuRe2Te
1.0
4.364 -1.523 0.000
4.364 1.523 0.000
-0.884 0.000 4.864
Cu Re Te
1 2 1
direct
0.000 0.000 0.000
0.257 0.257 0.782
0.743 0.743 0.218
0.500 0.500 0.500
```

Values from the calculation:
- density of states at the Fermi level (states/eV/atom) = 0.915
- calculated volume (Å³ per cell) = 65
- formation energy without anion corrections (eV/f.u.) = 2.75
- E (eV per atom) = -7.347


Question: Which formula does entry 3 have?
Answer: CuRe2Te


Question: Which of these has the highest calculated volume?
Answer: AcErZn4


Question: Which of these has the highest E?
Answer: AcErZn4